(1)
First-principles (PBE) data for an optimized crystal structure of Ca6AlHg5, as listed in Alexandria.

Space group: Immm, No. 71
Energy relative to the elements: -0.489 eV per atom
Calculated density: 6.5 g/cm3
Fermi-level density of states: 8.4 states/eV/cell

abc: 5.322 7.616 9.253
angles: 114.30 106.68 90.00
Fractional coordinates of all 12 atoms:
Hg 0.337 0.838 0.676
Hg 0.663 0.162 0.324
Hg 0.666 0.665 0.330
Hg 0.000 0.500 0.000
Hg 0.334 0.335 0.670
Ca 0.167 0.917 0.334
Ca 0.167 0.417 0.334
Ca 0.833 0.583 0.666
Ca 0.500 0.750 0.000
Ca 0.500 0.250 0.000
Ca 0.833 0.083 0.666
Al 0.000 0.000 0.000


(2)
First-principles (PBE) data for an optimized crystal structure of Li2PtI, as listed in Alexandria.

Energy above the lowest structure with this stoichiometry: 0.0 meV per atom
Space group: I-42d, No. 122
E_form (uncorrected): -0.34 eV/atom
Calculated density: 6.9 g/cm3
Fermi-level density of states: 2.1 states/eV/cell

abc: 7.480 7.480 6.024
angles: 51.62 51.62 90.00
Fractional coordinates of all 8 atoms:
Li 0.875 0.909 0.750
Li 0.091 0.625 0.250
Li 0.375 0.341 0.750
Li 0.659 0.125 0.250
I 0.500 0.500 0.000
I 0.250 0.750 0.500
Pt 0.750 0.250 0.500
Pt 0.000 0.000 0.000


(3)
First-principles (PBE) data for an optimized crystal structure of CsNbSn2, as listed in Alexandria.

Energy above the lowest structure with this stoichiometry: 389.8 meV per atom
Space group: Fm-3m, No. 225
Energy relative to the elements: 0.784 eV per atom
Calculated density: 6.6 g/cm3
Fermi-level density of states: 4.3 states/eV/cell

abc: 5.496 5.496 5.496
angles: 60.00 60.00 60.00
Site moments in Bohr magnetons follow the coordinates.
Fractional coordinates of all 4 atoms:
Nb 0.000 0.000 0.000  2.16
Cs 0.500 0.500 0.500  0.03
Sn 0.750 0.750 0.750  0.01
Sn 0.250 0.250 0.250  0.01


(4)
First-principles (PBE) data for an optimized crystal structure of PmAlAu, as listed in Alexandria.

Energy above the lowest structure with this stoichiometry: 233.7 meV per atom
Space group: I4mm, No. 107
Energy relative to the elements: -0.524 eV per atom
Calculated density: 9.4 g/cm3
Fermi-level density of states: 1.8 states/eV/cell

abc: 3.393 3.393 6.170
angles: 105.96 105.96 90.00
Fractional coordinates of all 3 atoms:
Au 0.975 0.975 0.950
Pm 0.285 0.285 0.570
Al 0.590 0.590 0.180


(5)
First-principles (PBE) data for an optimized crystal structure of In2CuAs, as listed in Alexandria.

Space group: Imm2, No. 44
Energy relative to the elements: 0.108 eV per atom
Calculated density: 7.1 g/cm3
Fermi-level density of states: 1.5 states/eV/cell

abc: 6.537 6.537 6.537
angles: 151.71 138.91 50.63
Fractional coordinates of all 4 atoms:
In 0.748 0.248 0.500
In 0.049 0.049 0.000
As 0.435 0.435 0.000
Cu 0.268 0.768 0.500


(6)
First-principles (PBE) data for an optimized crystal structure of NaPH3, as listed in Alexandria.

Energy above the lowest structure with this stoichiometry: 0.0 meV per atom
Space group: Pmn2_1, No. 31
Calculated density: 1.0 g/cm3
Fermi-level density of states: 1.8 states/eV/cell

abc: 4.097 4.047 11.352
angles: 90.00 90.00 90.00
Fractional coordinates of all 10 atoms:
H 0.613 0.252 0.331
H 0.113 0.752 0.669
H 0.794 0.500 0.555
H 0.294 0.000 0.445
H 0.113 0.248 0.669
H 0.613 0.748 0.331
P 0.867 0.500 0.679
P 0.367 0.000 0.321
Na 0.612 0.000 0.902
Na 0.112 0.500 0.098


What is the calculated density in the first record?
6.5 g/cm3


Which of these has the lowest calculated density?
NaPH3